# RbAs2Ru2, optimized geometry, DFT PBE
# **Raw total energy**: -29.125 eV/cell
# **Calculated volume**: 22.6 Å³ per atom
# **Formation energy**: -0.061 eV per atom
# **Total magnetic moment**: 0.004 μB per formula unit
data_RbAs2Ru2
_cell_length_a 3.965
_cell_length_b 3.965
_cell_length_c 7.190
_cell_angle_alpha 90.00
_cell_angle_beta 90.00
_cell_angle_gamma 90.00
_space_group_name_H-M_alt 'P 4/m m m'
_space_group_IT_number 123
_space_group_name_Hall '-P 4 2'
loop_
_atom_site_label
_atom_site_type_symbol
_atom_site_fract_x
_atom_site_fract_y
_atom_site_fract_z
Rb1 Rb 0.000 0.000 0.000
As1 As 0.500 0.500 0.287
Ru1 Ru 0.000 0.500 0.500



# RbAs2Ru2, optimized geometry, DFT PBE
# **Raw total energy**: -55.396 eV/cell
# **Calculated volume**: 20.1 Å³ per atom
# **Formation energy**: 0.224 eV per atom
# **Total magnetic moment**: 0.000 μB per formula unit
data_RbAs2Ru2
_cell_length_a 8.178
_cell_length_b 8.178
_cell_length_c 3.010
_cell_angle_alpha 90.00
_cell_angle_beta 90.00
_cell_angle_gamma 90.00
_space_group_name_H-M_alt 'P 4/m b m'
_space_group_IT_number 127
_space_group_name_Hall '-P 4 2ab'
loop_
_atom_site_label
_atom_site_type_symbol
_atom_site_fract_x
_atom_site_fract_y
_atom_site_fract_z
Rb1 Rb 0.000 0.000 0.000
As1 As 0.129 0.371 0.000
Ru1 Ru 0.121 0.621 0.500